A plane-wave DFT calculation with PBE-GGA was carried out for a relaxed structure of CeZrCoTc.

a = 4.709 Å, b = 4.709 Å, c = 4.709 Å
α = 60.00°, β = 60.00°, γ = 60.00°
Each line ends with the local moment (μB).
Sites, in units of the cell vectors:
Ce  0.500  0.500  0.500  -0.15
Co  0.250  0.250  0.250  0.74
Zr  0.000  0.000  0.000  -0.08
Tc  0.750  0.750  0.750  0.08

Total magnetic moment, μB per atom: 0.116
DFT formation energy, meV per atom: -142
Energy, eV for the cell shown: -32.52